[1]
# K2BaBe

A relaxed K2BaBe crystal (PBE, Alexandria via LeMat-Bulk).

Cell and atoms, written as extended XYZ:
```
4
Lattice="-0.736 6.439 1.980 -1.647 1.084 -4.136 -5.791 -1.046 1.250" Properties=species:S:1:pos:R:3 pbc="T T T"
K -3.981 0.036 -1.598
K -7.177 0.019 -2.730
Be -5.947 3.248 -1.174
Ba -2.228 3.229 0.269
```

## Properties
Formation enthalpy at 0 K ... 643.7 meV/atom
Calculated density ... 2.0 Mg/m³
VASP energy ... -1.32 eV per atom

***

[2]
# La2Dy2Y2Er

A relaxed La2Dy2Y2Er crystal (PBE, Alexandria via LeMat-Bulk).

Cell and atoms, written as extended XYZ:
```
7
Lattice="3.529 0.000 0.000 -1.765 5.685 1.631 0.000 0.559 11.913" Properties=species:S:1:pos:R:3 pbc="T T T"
La 0.000 3.773 2.084
La 1.765 2.471 11.460
Y 0.000 5.579 10.620
Y 1.765 0.665 2.924
Dy 0.000 2.960 8.278
Dy 1.765 3.284 5.266
Er 0.000 0.279 5.956
```

## Properties
Formation enthalpy at 0 K ... 84.5 meV/atom
Calculated density ... 6.7 Mg/m³
VASP energy ... -5.14 eV per atom